Record 1
Entry from OQMD via LeMat-Bulk: crystalline ZnGaBi at its relaxed geometry (GGA-PBE).

a b c (Å): 6.7349 6.7349 6.7349
angles (deg): 90.00 90.00 90.00
With the nearest neighbours (Å) after each atom.
Space group F-43m (No. 216)
Asymmetric unit:
Zn 0.0000 0.0000 0.0000 [4 per cell]  4 Ga 2.92
Ga 0.2500 0.2500 0.7500 [4 per cell]  4 Bi 2.92, 4 Zn 2.92
Bi 0.0000 0.0000 0.5000 [4 per cell]  4 Ga 2.92



Record 2
Entry from OQMD via LeMat-Bulk: crystalline ZnGa2Bi at its relaxed geometry (GGA-PBE).

a b c (Å): 7.0967 7.0967 7.0967
angles (deg): 90.00 90.00 90.00
With the nearest neighbours (Å) after each atom.
Space group F-43m (No. 216)
Asymmetric unit:
Zn 0.0000 0.0000 0.0000 [4 per cell]  4 Bi 3.07, 4 Ga 3.07
Ga 0.0000 0.0000 0.5000 [4 per cell]  4 Ga 3.07, 4 Bi 3.07
Ga 0.2500 0.2500 0.2500 [4 per cell]  4 Zn 3.07, 4 Ga 3.07
Bi 0.2500 0.2500 0.7500 [4 per cell]  4 Zn 3.07, 4 Ga 3.07



Record 3
Entry from OQMD via LeMat-Bulk: crystalline ZnGa2Bi2 at its relaxed geometry (GGA-PBE).

a b c (Å): 4.2890 4.2890 14.4247
angles (deg): 90.00 90.00 90.00
With the nearest neighbours (Å) after each atom.
Space group I4/mmm (No. 139)
Asymmetric unit:
Zn 0.0000 0.0000 0.0000 [2 per cell]  8 Bi 3.44
Ga 0.0000 0.5000 0.2500 [4 per cell]  4 Bi 2.92, 4 Ga 3.03
Bi 0.0000 0.0000 0.3876 [4 per cell]  4 Ga 2.92, 1 Bi 3.24



Record 4
Entry from OQMD via LeMat-Bulk: crystalline ZnGaBi2 at its relaxed geometry (GGA-PBE).

a b c (Å): 7.5007 7.5007 7.5007
angles (deg): 90.00 90.00 90.00
With the nearest neighbours (Å) after each atom.
Space group F-43m (No. 216)
Asymmetric unit:
Zn 0.0000 0.0000 0.0000 [4 per cell]  4 Bi 3.25, 4 Ga 3.25
Ga 0.2500 0.2500 0.7500 [4 per cell]  4 Bi 3.25, 4 Zn 3.25
Bi 0.0000 0.0000 0.5000 [4 per cell]  4 Ga 3.25, 4 Bi 3.25
Bi 0.2500 0.2500 0.2500 [4 per cell]  4 Bi 3.25, 4 Zn 3.25



Record order is preserved below.
Energy: -2.62, -2.71, -2.88, -2.91 eV/atom